(1)
Material: CoRh2
Method: DFT, SCAN
State: PBEsol geometry

**Symmetry**: No. 139
**E**: -84.678 eV per formula unit
**Energy relative to the elements**: 0.056 eV per atom

a b c (Å): 2.6342 2.6342 5.7059
angles (deg): 103.35 103.35 90.00
Element x y z (fractional)
Rh  0.6607  0.6607  0.3215
Co  0.0000  0.0000  0.0000
Rh  0.3393  0.3393  0.6785

=====

(2)
Material: Co2AuCl
Method: DFT, SCAN
State: PBEsol geometry

**E_form (uncorrected)**: 0.42 eV/atom
**Symmetry**: No. 71
**ΔE to the lowest computed polymorph**: 0.2395 eV/atom
**E**: -110.050 eV per formula unit

a b c (Å): 2.7605 5.0192 5.0192
angles (deg): 64.98 74.04 74.04
Element x y z (fractional)
Cl  0.0000  0.5000  0.5000
Co  0.2748  0.7252  0.7252
Co  0.7252  0.2748  0.2748
Au  0.5000  0.0000  0.0000

=====

(3)
Material: BaCa2Mg
Method: DFT, SCAN
State: PBEsol geometry

**Symmetry**: No. 47
**E**: -63.616 eV per formula unit
**Energy relative to the elements**: 0.059 eV per atom

a b c (Å): 4.6873 5.7572 5.8422
angles (deg): 90.00 90.00 90.00
Element x y z (fractional)
Ca  0.5000  0.5000  0.0000
Ca  0.0000  0.0000  0.0000
Ba  0.0000  0.5000  0.5000
Mg  0.5000  0.0000  0.5000

=====

(4)
Material: TcPW2
Method: DFT, SCAN
State: PBEsol geometry

**Symmetry**: No. 166
**E**: -183.840 eV per formula unit
**Energy relative to the elements**: 0.249 eV per atom

a b c (Å): 2.8417 2.8417 8.4077
angles (deg): 80.27 80.27 60.00
Element x y z (fractional)
W  0.7548  0.7548  0.7356
W  0.2452  0.2452  0.2644
Tc  0.0000  0.0000  0.0000
P  0.5000  0.5000  0.5000

=====

(5)
Material: Y2TeO6
Method: DFT, SCAN
State: PBEsol geometry

**E_form (uncorrected)**: -2.77 eV/atom
**Symmetry**: No. 15
**E**: -155.247 eV per formula unit

a b c (Å): 5.3903 9.6163 9.6163
angles (deg): 69.69 77.52 77.52
Element x y z (fractional)
Y  0.1074  0.5617  0.7823
O  0.9331  0.8192  0.3582
O  0.9779  0.9621  0.8778
O  0.7228  0.5378  0.9605
O  0.7772  0.0395  0.4622
O  0.3389  0.7194  0.8083
O  0.9170  0.5779  0.6022
O  0.4779  0.8778  0.9621
Te  0.5871  0.3197  0.9977
Y  0.8926  0.4383  0.2177
O  0.5830  0.3978  0.4221
O  0.2772  0.4622  0.0395
O  0.5669  0.6418  0.1808
O  0.4174  0.8757  0.3133
O  0.4331  0.3582  0.8192
O  0.4170  0.6022  0.5779
O  0.8389  0.8083  0.7194
Y  0.2500  0.6079  0.3921
Y  0.3926  0.2177  0.4383
Y  0.7500  0.8840  0.1160
O  0.0826  0.6867  0.1243
Te  0.0871  0.9977  0.3197
O  0.2228  0.9605  0.5378
O  0.6611  0.2806  0.1917
Y  0.2500  0.1160  0.8840
O  0.0221  0.0379  0.1222
Te  0.4129  0.6803  0.0023
O  0.0669  0.1808  0.6418
O  0.9174  0.3133  0.8757
O  0.0830  0.4221  0.3978
O  0.5221  0.1222  0.0379
O  0.1611  0.1917  0.2806
Y  0.6074  0.7823  0.5617
Te  0.9129  0.0023  0.6803
Y  0.7500  0.3921  0.6079
O  0.5826  0.1243  0.6867

=====

(6)
Material: BeSiRu2
Method: DFT, SCAN
State: PBEsol geometry

**E_form (uncorrected)**: -0.45 eV/atom
**Symmetry**: No. 99
**ΔE to the lowest computed polymorph**: 0.2267 eV/atom
**E**: -85.807 eV per formula unit

a b c (Å): 2.9111 2.9111 5.4731
angles (deg): 90.00 90.00 90.00
Element x y z (fractional)
Si  0.0000  0.0000  0.5161
Ru  0.0000  0.0000  0.9511
Be  0.5000  0.5000  0.7511
Ru  0.5000  0.5000  0.2817

=====

(7)
Material: GaRuPt3
Method: DFT, SCAN
State: PBEsol geometry

**Symmetry**: No. 221
**E**: -256.624 eV per formula unit
**Energy relative to the elements**: 1.026 eV per atom

a b c (Å): 4.5123 4.5123 4.5123
angles (deg): 90.00 90.00 90.00
Element x y z (fractional)
Ru  0.5000  0.5000  0.5000
Pt  0.5000  0.0000  0.0000
Pt  0.0000  0.0000  0.5000
Ga  0.0000  0.0000  0.0000
Pt  0.0000  0.5000  0.0000

=====

(8)
Material: Lu2S3
Method: DFT, SCAN
State: PBEsol geometry

**E_form (uncorrected)**: -2.25 eV/atom
**Symmetry**: No. 122
**E**: -150.800 eV per formula unit

a b c (Å): 8.0272 8.0272 13.2998
angles (deg): 107.56 107.56 90.00
Element x y z (fractional)
S  0.0958  0.6932  0.0342
S  0.1542  0.4091  0.4658
S  0.8239  0.0773  0.7887
S  0.6362  0.3819  0.6315
Lu  0.3345  0.3345  0.6690
Lu  0.6655  0.6655  0.3310
S  0.3273  0.5739  0.2887
Lu  0.1250  0.9921  0.7500
S  0.2852  0.6727  0.7113
S  0.5909  0.6884  0.5342
S  0.3116  0.0568  0.4658
S  0.9953  0.2496  0.6315
Lu  0.9261  0.5485  0.5778
S  0.6319  0.3862  0.1315
S  0.2547  0.3681  0.8685
Lu  0.7985  0.6761  0.0778
Lu  0.9155  0.4155  0.8310
S  0.4261  0.0385  0.7113
S  0.9227  0.0352  0.2113
Lu  0.3239  0.7207  0.9222
Lu  0.6516  0.0293  0.5778
S  0.9432  0.8458  0.5342
S  0.2885  0.1761  0.2113
S  0.6591  0.9042  0.9658
S  0.7504  0.3638  0.3685
Lu  0.6250  0.7579  0.7500
S  0.3068  0.0616  0.9658
S  0.9615  0.7148  0.2887
S  0.6138  0.5004  0.8685
Lu  0.0079  0.3750  0.2500
Lu  0.2793  0.4016  0.0778
Lu  0.4515  0.3484  0.4222
S  0.9648  0.7115  0.7887
S  0.4996  0.7453  0.1315
Lu  0.5845  0.0845  0.1690
S  0.6181  0.0047  0.3685
Lu  0.2421  0.8750  0.2500
Lu  0.5984  0.2015  0.9222
S  0.9384  0.3409  0.0342
Lu  0.9707  0.0739  0.4222